# 1
DFT (PBE-GGA) results for a relaxed Nd2ScRh crystal.

The structure in CIF format:
```
data_Nd2ScRh
_symmetry_space_group_name_H-M 'R -3 m'
_symmetry_Int_Tables_number 166
_symmetry_space_group_name_Hall '-R 3 2"'
_cell_length_a 3.5830
_cell_length_b 3.5830
_cell_length_c 31.2662
_cell_angle_alpha 90.00
_cell_angle_beta 90.00
_cell_angle_gamma 120.00
loop_
_atom_site_label
_atom_site_fract_x
_atom_site_fract_y
_atom_site_fract_z
Nd1 0.0000 0.0000 0.1047
Sc1 0.0000 0.0000 0.0000
Rh1 0.0000 0.0000 0.5000
```

Its formation energy from the elements is 0.020 eV per atom. The magnetization comes out at 0.295 Bohr magnetons per cell. The final energy is -5.785 eV/atom. As for the energy above the most stable polymorph in this dataset: 255 meV/atom.

***

# 2
DFT (PBE-GGA) results for a relaxed Nd3ScRh8 crystal.

The structure in CIF format:
```
data_Nd3ScRh8
_symmetry_space_group_name_H-M 'R 3 m'
_symmetry_Int_Tables_number 160
_symmetry_space_group_name_Hall 'R 3 -2"'
_cell_length_a 5.3682
_cell_length_b 5.3682
_cell_length_c 26.3199
_cell_angle_alpha 90.00
_cell_angle_beta 90.00
_cell_angle_gamma 120.00
loop_
_atom_site_label
_atom_site_fract_x
_atom_site_fract_y
_atom_site_fract_z
Nd1 0.0000 0.0000 0.0000
Nd2 0.0000 0.0000 0.1263
Nd3 0.0000 0.0000 0.5040
Sc1 0.0000 0.0000 0.6285
Rh1 0.0000 0.0000 0.3140
Rh2 0.0000 0.0000 0.8143
Rh3 0.0004 0.5002 0.5660
Rh4 0.1675 0.3350 0.3959
```

Its formation energy from the elements is -0.653 eV per atom. The magnetization comes out at 0.000 Bohr magnetons per cell. The final energy is -7.273 eV/atom.

***

Values for DOS at the Fermi energy, states/eV/atom, ordered as above
1.30, 0.59